# 1
This record from Alexandria via LeMat-Bulk describes Rb2BaBr4 after structural relaxation. The functional is PBE.

Total DFT energy (no corrections): -3.4151 eV/atom
Space-group type: C2/m, No. 12
Total magnetic moment: 0.00 μB/cell
N(E_F): 0.00 states/eV/atom

abc: 8.370 8.370 9.770
angles: 121.02 121.02 32.35
Positions (direct):
Rb 0.140 0.140 0.189
Rb 0.860 0.860 0.811
Ba 0.500 0.500 0.500
Br 0.163 0.163 0.582
Br 0.452 0.452 0.139
Br 0.548 0.548 0.861
Br 0.837 0.837 0.418

# 2
This record from Alexandria via LeMat-Bulk describes RbBaBr2 after structural relaxation. The functional is PBE.

Total DFT energy (no corrections): -3.0709 eV/atom
Space-group type: R-3m, No. 166
Total magnetic moment: 0.25 μB/cell
N(E_F): 0.44 states/eV/atom

abc: 10.425 10.425 10.425
angles: 27.87 27.87 27.87
Positions (direct):
Rb 0.000 0.000 0.000
Ba 0.500 0.500 0.500
Br 0.397 0.397 0.397
Br 0.603 0.603 0.603

# 3
This record from Alexandria via LeMat-Bulk describes RbBaBr after structural relaxation. The functional is PBE.

Total DFT energy (no corrections): -2.4936 eV/atom
Space-group type: P4/nmm, No. 129
Total magnetic moment: 0.00 μB/cell
N(E_F): 0.66 states/eV/atom

abc: 5.507 5.507 12.423
angles: 90.00 90.00 90.00
Positions (direct):
Rb 0.250 0.250 0.102
Rb 0.750 0.750 0.898
Ba 0.250 0.250 0.648
Ba 0.750 0.750 0.352
Br 0.250 0.750 0.500
Br 0.750 0.250 0.500

# 4
This record from Alexandria via LeMat-Bulk describes RbBa3Br after structural relaxation. The functional is PBE.

Total DFT energy (no corrections): -2.1352 eV/atom
Space-group type: Pm-3m, No. 221
Total magnetic moment: 1.82 μB/cell
N(E_F): 1.45 states/eV/atom

abc: 6.700 6.700 6.700
angles: 90.00 90.00 90.00
Positions (direct):
Rb 0.000 0.000 0.000
Ba 0.000 0.500 0.500
Ba 0.500 0.000 0.500
Ba 0.500 0.500 0.000
Br 0.500 0.500 0.500

# 5
This record from Alexandria via LeMat-Bulk describes Rb3BaBr after structural relaxation. The functional is PBE.

Total DFT energy (no corrections): -1.1741 eV/atom
Space-group type: Pm-3m, No. 221
Total magnetic moment: 2.00 μB/cell
N(E_F): 1.71 states/eV/atom

abc: 8.536 8.536 8.536
angles: 90.00 90.00 90.00
Positions (direct):
Rb 0.000 0.000 0.500
Rb 0.000 0.500 0.000
Rb 0.500 0.000 0.000
Ba 0.000 0.000 0.000
Br 0.500 0.500 0.500

# 6
This record from Alexandria via LeMat-Bulk describes RbBaBr2 after structural relaxation. The functional is PBE.

Total DFT energy (no corrections): -2.9742 eV/atom
Space-group type: Fm-3m, No. 225
Total magnetic moment: 0.88 μB/cell
N(E_F): 0.82 states/eV/atom

abc: 5.893 5.893 5.893
angles: 60.00 60.00 60.00
Positions (direct):
Rb 0.000 0.000 0.000
Ba 0.500 0.500 0.500
Br 0.250 0.250 0.250
Br 0.750 0.750 0.750

# 7
This record from Alexandria via LeMat-Bulk describes Rb2BaBr4 after structural relaxation. The functional is PBE.

Total DFT energy (no corrections): -3.3532 eV/atom
Space-group type: I4/mmm, No. 139
Total magnetic moment: 0.00 μB/cell
N(E_F): 0.00 states/eV/atom

abc: 9.971 9.971 9.971
angles: 143.22 143.22 53.00
Positions (direct):
Rb 0.139 0.139 0.000
Rb 0.861 0.861 0.000
Ba 0.500 0.500 0.000
Br 0.000 0.500 0.500
Br 0.323 0.323 0.000
Br 0.500 0.000 0.500
Br 0.677 0.677 0.000

# 8
This record from Alexandria via LeMat-Bulk describes RbBaBr after structural relaxation. The functional is PBE.

Total DFT energy (no corrections): -2.5299 eV/atom
Space-group type: P3m1, No. 156
Total magnetic moment: 0.22 μB/cell
N(E_F): 0.75 states/eV/atom

abc: 4.605 4.605 8.658
angles: 90.00 90.00 120.00
Positions (direct):
Rb 0.000 0.000 0.000
Ba 0.333 0.667 0.534
Br 0.667 0.333 0.275

no.,energy relative to the lowest polymorph listed for this composition (meV/atom)
1,22
2,80
3,36
4,0
5,621
6,176
7,84
8,0